First-principles (GGA-PBE) data for a relaxed Sn12Pb5Au3 crystal, as listed in Alexandria.

Calculated values
For the spin magnetization, the calculation gives 0.00 μB/f.u.

POSCAR file:
```
Sn12Pb5Au3
1.0
15.086 0.000 0.000
-5.029 14.223 0.000
-5.029 -7.111 12.317
Sn Pb Au
48 20 12
Direct
0.110 0.943 0.365 Sn
0.943 0.110 0.865 Sn
0.922 0.557 0.167 Sn
0.422 0.755 0.865 Sn
0.057 0.890 0.135 Sn
0.745 0.610 0.167 Sn
0.167 0.110 0.745 Sn
0.578 0.333 0.943 Sn
0.443 0.365 0.610 Sn
0.557 0.635 0.390 Sn
0.365 0.443 0.110 Sn
0.390 0.255 0.333 Sn
0.167 0.057 0.922 Sn
0.333 0.755 0.390 Sn
0.755 0.333 0.890 Sn
0.610 0.865 0.443 Sn
0.922 0.365 0.255 Sn
0.943 0.833 0.578 Sn
0.745 0.135 0.078 Sn
0.865 0.610 0.943 Sn
0.333 0.578 0.443 Sn
0.667 0.422 0.557 Sn
0.078 0.443 0.833 Sn
0.245 0.578 0.635 Sn
0.245 0.667 0.110 Sn
0.635 0.557 0.890 Sn
0.833 0.890 0.255 Sn
0.667 0.245 0.610 Sn
0.890 0.057 0.635 Sn
0.135 0.745 0.578 Sn
0.365 0.922 0.755 Sn
0.865 0.255 0.422 Sn
0.110 0.167 0.245 Sn
0.610 0.745 0.667 Sn
0.057 0.167 0.422 Sn
0.078 0.635 0.745 Sn
0.255 0.390 0.833 Sn
0.255 0.865 0.922 Sn
0.833 0.943 0.078 Sn
0.422 0.667 0.057 Sn
0.557 0.922 0.667 Sn
0.578 0.245 0.135 Sn
0.755 0.422 0.365 Sn
0.890 0.833 0.755 Sn
0.135 0.390 0.057 Sn
0.635 0.078 0.245 Sn
0.390 0.135 0.557 Sn
0.443 0.078 0.333 Sn
0.500 0.500 0.000 Pb
0.000 0.500 0.500 Pb
0.750 0.125 0.875 Pb
0.000 0.000 0.500 Pb
0.250 0.875 0.125 Pb
0.250 0.375 0.625 Pb
0.875 0.625 0.750 Pb
0.500 0.000 0.000 Pb
0.375 0.250 0.125 Pb
0.875 0.250 0.625 Pb
0.000 0.500 0.000 Pb
0.500 0.500 0.500 Pb
0.625 0.750 0.875 Pb
0.750 0.625 0.375 Pb
0.000 0.000 0.000 Pb
0.375 0.125 0.750 Pb
0.125 0.375 0.250 Pb
0.125 0.750 0.375 Pb
0.625 0.875 0.250 Pb
0.500 0.000 0.500 Pb
0.750 0.875 0.625 Au
0.750 0.375 0.125 Au
0.625 0.375 0.750 Au
0.250 0.625 0.875 Au
0.125 0.250 0.875 Au
0.375 0.625 0.250 Au
0.875 0.750 0.125 Au
0.375 0.750 0.625 Au
0.625 0.250 0.375 Au
0.250 0.125 0.375 Au
0.875 0.125 0.250 Au
0.125 0.875 0.750 Au
```

=====

First-principles (GGA-PBE) data for a relaxed ZrBeCd crystal, as listed in Alexandria.

Calculated values
For the spin magnetization, the calculation gives 0.00 μB/f.u.

POSCAR file:
```
ZrBeCd
1.0
-1.703 3.562 -1.668
-3.601 1.632 1.655
0.128 3.672 2.206
Zr Be Cd
1 1 1
Direct
0.500 0.500 0.500 Zr
0.750 0.750 0.750 Be
0.000 0.000 0.000 Cd
```

=====

First-principles (GGA-PBE) data for a relaxed CdIn2CoPb crystal, as listed in Alexandria.

Calculated values
For the spin magnetization, the calculation gives 0.00 μB/f.u.

POSCAR file:
```
CdIn2CoPb
1.0
-2.171 -1.219 4.280
-0.959 -4.521 -1.775
4.472 -1.654 1.797
Cd Pb In Co
1 1 2 1
Direct
0.000 0.000 0.500 Cd
0.500 0.500 0.500 Pb
0.000 0.500 0.000 In
0.500 0.000 0.000 In
0.000 0.000 0.000 Co
```

=====

First-principles (GGA-PBE) data for a relaxed Ta4Mo3 crystal, as listed in Alexandria.

Calculated values
For the spin magnetization, the calculation gives 0.00 μB/f.u.

POSCAR file:
```
Ta4Mo3
1.0
-9.577 1.589 6.568
-7.314 -1.508 9.034
9.500 1.633 -6.668
Ta Mo
4 3
Direct
0.860 0.860 0.000 Ta
0.569 0.569 0.000 Ta
0.284 0.284 0.000 Ta
0.145 0.145 0.000 Ta
0.998 0.998 0.000 Mo
0.431 0.431 0.000 Mo
0.714 0.714 0.000 Mo
```

=====

First-principles (GGA-PBE) data for a relaxed NpV2W crystal, as listed in Alexandria.

Calculated values
For the spin magnetization, the calculation gives 2.63 μB/f.u.

POSCAR file:
```
NpV2W
1.0
3.051 0.000 0.000
0.000 4.557 0.000
0.000 0.000 4.557
W V Np
1 2 1
Direct
0.500 0.000 0.000 W
0.000 0.000 0.500 V
0.000 0.500 0.000 V
0.500 0.500 0.500 Np
```

=====

First-principles (GGA-PBE) data for a relaxed ScGa2Pb2 crystal, as listed in Alexandria.

Calculated values
For the spin magnetization, the calculation gives 0.00 μB/f.u.

POSCAR file:
```
ScGa2Pb2
1.0
8.162 0.000 0.000
0.000 8.162 0.000
0.000 0.000 3.760
Ga Sc Pb
4 2 4
Direct
0.846 0.346 0.500 Ga
0.346 0.154 0.500 Ga
0.154 0.654 0.500 Ga
0.654 0.846 0.500 Ga
0.500 0.500 0.000 Sc
0.000 0.000 0.000 Sc
0.146 0.354 0.000 Pb
0.854 0.646 0.000 Pb
0.354 0.854 0.000 Pb
0.646 0.146 0.000 Pb
```

=====

First-principles (GGA-PBE) data for a relaxed FeOs4 crystal, as listed in Alexandria.

Calculated values
For the spin magnetization, the calculation gives 2.28 μB/f.u.

POSCAR file:
```
FeOs4
1.0
-0.116 -4.235 3.409
3.643 -1.947 -2.294
2.700 3.506 4.447
Fe Os
2 8
Direct
0.368 0.750 0.500 Fe
0.632 0.250 0.500 Fe
0.370 0.526 0.830 Os
0.370 0.974 0.170 Os
0.117 0.471 0.178 Os
0.630 0.026 0.830 Os
0.883 0.529 0.822 Os
0.883 0.971 0.178 Os
0.630 0.474 0.170 Os
0.117 0.029 0.822 Os
```

=====

First-principles (GGA-PBE) data for a relaxed ScCr2 crystal, as listed in Alexandria.

Calculated values
For the spin magnetization, the calculation gives 0.00 μB/f.u.

POSCAR file:
```
ScCr2
1.0
0.045 -4.433 -0.344
-4.090 -1.097 -1.355
3.682 2.182 -1.205
Cr Sc
2 1
Direct
0.640 0.640 0.000 Cr
0.360 0.360 0.000 Cr
0.000 0.000 0.000 Sc
```

=====

First-principles (GGA-PBE) data for a relaxed Ta2FeP6 crystal, as listed in Alexandria.

Calculated values
For the spin magnetization, the calculation gives 0.00 μB/f.u.

POSCAR file:
```
Ta2FeP6
1.0
-4.517 3.333 -1.999
1.210 -1.707 -5.580
-5.819 -7.304 0.972
P Ta Fe
12 4 2
Direct
0.791 0.209 0.151 P
0.291 0.291 0.651 P
0.709 0.709 0.349 P
0.723 0.723 0.000 P
0.277 0.277 0.000 P
0.209 0.791 0.151 P
0.777 0.223 0.500 P
0.291 0.291 0.349 P
0.209 0.791 0.849 P
0.223 0.777 0.500 P
0.709 0.709 0.651 P
0.791 0.209 0.849 P
0.500 0.500 0.171 Ta
0.500 0.500 0.829 Ta
0.000 0.000 0.671 Ta
0.000 0.000 0.329 Ta
0.000 0.000 0.000 Fe
0.500 0.500 0.500 Fe
```

=====

First-principles (GGA-PBE) data for a relaxed MgReNi2 crystal, as listed in Alexandria.

Calculated values
For the spin magnetization, the calculation gives 0.00 μB/f.u.

POSCAR file:
```
MgReNi2
1.0
-1.001 -1.195 2.231
4.228 -1.005 1.359
0.216 3.777 2.120
Ni Mg Re
2 1 1
Direct
0.000 0.000 0.000 Ni
0.500 0.500 0.000 Ni
0.000 0.500 0.500 Mg
0.500 0.000 0.500 Re
```

=====

First-principles (GGA-PBE) data for a relaxed Ce3GaRh3 crystal, as listed in Alexandria.

Calculated values
For the spin magnetization, the calculation gives 1.18 μB/f.u.

POSCAR file:
```
Ce3GaRh3
1.0
5.448 0.000 0.000
0.000 8.541 0.000
0.000 -4.271 7.397
Rh Ce Ga
6 6 2
Direct
0.750 0.635 0.950 Rh
0.750 0.050 0.685 Rh
0.250 0.365 0.050 Rh
0.250 0.685 0.635 Rh
0.750 0.315 0.365 Rh
0.250 0.950 0.315 Rh
0.250 0.644 0.950 Ce
0.250 0.306 0.356 Ce
0.750 0.356 0.050 Ce
0.750 0.950 0.306 Ce
0.750 0.694 0.644 Ce
0.250 0.050 0.694 Ce
0.750 0.333 0.667 Ga
0.250 0.667 0.333 Ga
```

=====

First-principles (GGA-PBE) data for a relaxed Nd6As4P crystal, as listed in Alexandria.

Calculated values
For the spin magnetization, the calculation gives 0.00 μB/f.u.

POSCAR file:
```
Nd6As4P
1.0
-1.706 1.366 3.592
3.264 -6.382 1.517
17.811 10.198 4.582
As Nd P
8 12 2
Direct
0.137 0.275 0.457 As
0.137 0.275 0.043 As
0.589 0.178 0.631 As
0.411 0.822 0.131 As
0.411 0.822 0.369 As
0.863 0.725 0.957 As
0.589 0.178 0.869 As
0.863 0.725 0.543 As
0.694 0.388 0.750 Nd
0.775 0.551 0.084 Nd
0.225 0.449 0.916 Nd
0.500 0.000 0.000 Nd
0.049 0.098 0.166 Nd
0.951 0.902 0.834 Nd
0.306 0.612 0.250 Nd
0.049 0.098 0.334 Nd
0.775 0.551 0.416 Nd
0.225 0.449 0.584 Nd
0.500 0.000 0.500 Nd
0.951 0.902 0.666 Nd
0.663 0.327 0.250 P
0.337 0.673 0.750 P
```

=====

| no. | energy of formation from the pure elements (eV/atom) | final energy (eV/cell) |
| --- | --- | --- |
| 1 | 0.131 | -295.181 |
| 2 | 0.097 | -12.898 |
| 3 | 0.178 | -16.318 |
| 4 | -0.142 | -80.898 |
| 5 | 0.314 | -42.876 |
| 6 | 0.085 | -38.756 |
| 7 | 0.538 | -101.379 |
| 8 | 0.483 | -24.128 |
| 9 | -0.047 | -130.096 |
| 10 | 0.325 | -24.304 |
| 11 | -0.569 | -93.728 |
| 12 | -1.344 | -134.803 |